A crystal of ZrAl2Pt relaxed with PBEsol. Source: the Alexandria database, functional SCAN.

## Properties
Its density of states at the Fermi level is 2.4 states/eV/cell. Its space-group type is R-3m. For the formation energy, the calculation gives -521 meV/atom.

Cell and atoms, written as POSCAR:
```
ZrAl2Pt
1.0
-0.0147 2.4715 -1.5879
-2.1928 0.5226 -1.8837
-5.3659 5.1787 5.3925
Zr Pt Al
1 1 2
direct
0.0000 0.0000 0.0000
0.5000 0.5000 0.5000
0.2411 0.2411 0.2768
0.7589 0.7589 0.7232
```